[1]
A plane-wave DFT calculation with PBE was carried out for an optimized crystal structure of LiZr2SnO.

a b c (Å): 4.8095 4.8095 4.2556
angles (deg): 90.00 90.00 90.00
Closest atoms and distances in Å follow each position.
Fractional coordinates of all 5 atoms:
Li (0.0000, 0.0000, 0.0000)  2 Sn 2.13
Zr (0.0000, 0.5000, 0.0000)  2 Li 2.40
Zr (0.5000, 0.0000, 0.0000)  2 Li 2.40
Sn (0.0000, 0.0000, 0.5000)  2 Li 2.13
O (0.5000, 0.5000, 0.5000)  8 Zr 3.21, 4 Sn 3.40

Output
Excess energy over the best structure of this formula in the dataset   1816 meV/atom

---

[2]
A plane-wave DFT calculation with PBE was carried out for an optimized crystal structure of Li2ZrSnO.

a b c (Å): 4.1928 4.1928 4.3765
angles (deg): 90.00 90.00 90.00
Closest atoms and distances in Å follow each position.
Fractional coordinates of all 5 atoms:
Li (0.0000, 0.5000, 0.0000)  2 O 2.10
Li (0.5000, 0.0000, 0.0000)  2 O 2.10
Zr (0.0000, 0.0000, 0.5000)  2 O 2.19
Sn (0.5000, 0.5000, 0.5000)  4 Zr 2.96, 8 Li 3.03
O (0.0000, 0.0000, 0.0000)  4 Li 2.10, 2 Zr 2.19

---

no.,raw formation energy (eV per formula unit),raw total energy (Ry per atom)
1,2.78,-0.3702
2,-6.73,-0.4126